(1)
DFT (PBE) results for a geometry-optimized HfP3Br structure.

For the magnetic moment, the calculation gives 0.00 μB/cell. As for the crystal system: cubic. For the offset from the most stable computed form, the calculation gives 0.0000 eV per atom.

Lattice parameters (Å, degrees): 5.009 5.009 5.009 90.00 90.00 90.00
Space group Pm-3m (No. 221)
One atom of each set of equivalent atoms:
Hf  0.000  0.000  0.000 (multiplicity 1)
P  0.000  0.000  0.500 (multiplicity 3)
Br  0.500  0.500  0.500 (multiplicity 1)



(2)
DFT (PBE) results for a geometry-optimized NaFe3As structure.

For the magnetic moment, the calculation gives 8.94 μB/cell. As for the crystal system: cubic. For the offset from the most stable computed form, the calculation gives 1.1235 eV per atom.

Lattice parameters (Å, degrees): 4.456 4.456 4.456 90.00 90.00 90.00
Space group Pm-3m (No. 221)
One atom of each set of equivalent atoms:
Na  0.000  0.000  0.000 (multiplicity 1)
Fe  0.000  0.000  0.500 (multiplicity 3)
As  0.500  0.500  0.500 (multiplicity 1)



(3)
DFT (PBE) results for a geometry-optimized Pm8Ge3Rh structure.

For the magnetic moment, the calculation gives 0.00 μB/cell. As for the crystal system: tetragonal. As for the total energy: -5.4214 eV/atom.

Lattice parameters (Å, degrees): 7.092 7.092 14.118 90.00 90.00 90.00
Space group I4/mmm (No. 139)
One atom of each set of equivalent atoms:
Pm  0.244  0.244  0.122 (multiplicity 16)
Ge  0.000  0.000  0.500 (multiplicity 2)
Ge  0.000  0.500  0.250 (multiplicity 4)
Rh  0.000  0.000  0.000 (multiplicity 2)



(4)
DFT (PBE) results for a geometry-optimized CrAs2PSe structure.

For the magnetic moment, the calculation gives 0.49 μB/cell. As for the crystal system: tetragonal. For the offset from the most stable computed form, the calculation gives 0.0000 eV per atom.

Lattice parameters (Å, degrees): 4.715 4.715 4.487 90.00 90.00 90.00
Space group P4/mmm (No. 123)
One atom of each set of equivalent atoms:
Cr  0.000  0.000  0.000 (multiplicity 1)
As  0.000  0.500  0.000 (multiplicity 2)
P  0.500  0.500  0.500 (multiplicity 1)
Se  0.000  0.000  0.500 (multiplicity 1)



(5)
DFT (PBE) results for a geometry-optimized DyYLu2 structure.

For the magnetic moment, the calculation gives 0.00 μB/cell. As for the crystal system: trigonal. For the offset from the most stable computed form, the calculation gives 0.0026 eV per atom.

Lattice parameters (Å, degrees): 3.5131 3.5131 34.2570 90.00 90.00 120.00
Space group R-3m (No. 166, hexagonal axes)
One atom of each set of equivalent atoms:
Dy  0.0000  0.0000  0.0000 (multiplicity 3)
Y  0.0000  0.0000  0.5000 (multiplicity 3)
Lu  0.0000  0.0000  0.2504 (multiplicity 6)



(6)
DFT (PBE) results for a geometry-optimized AlTcSb structure.

For the magnetic moment, the calculation gives 0.00 μB/cell. As for the crystal system: hexagonal. For the offset from the most stable computed form, the calculation gives 0.4019 eV per atom.

Lattice parameters (Å, degrees): 4.4869 4.4869 3.1954 90.00 90.00 120.00
Space group P-6m2 (No. 187)
One atom of each set of equivalent atoms:
Al  0.0000  0.0000  0.0000 (multiplicity 1)
Tc  0.6667  0.3333  0.5000 (multiplicity 1)
Sb  0.3333  0.6667  0.5000 (multiplicity 1)



(7)
DFT (PBE) results for a geometry-optimized RbIn2Se3 structure.

For the magnetic moment, the calculation gives 0.00 μB/cell. As for the crystal system: monoclinic. As for the total energy: -3.4836 eV/atom.

Lattice parameters (Å, degrees): 24.235 4.869 8.157 90.00 106.97 90.00
Space group C2/m (No. 12)
One atom of each set of equivalent atoms:
Rb  0.145  0.000  0.449 (multiplicity 4)
In  0.054  0.500  0.899 (multiplicity 4)
In  0.199  0.000  0.025 (multiplicity 4)
Se  0.059  0.500  0.226 (multiplicity 4)
Se  0.093  0.000  0.806 (multiplicity 4)
Se  0.226  0.500  0.182 (multiplicity 4)



(8)
DFT (PBE) results for a geometry-optimized LaNd4Sm3Se8 structure.

For the magnetic moment, the calculation gives 0.00 μB/cell. As for the crystal system: trigonal. As for the total energy: -5.9729 eV/atom.

Lattice parameters (Å, degrees): 8.4391 8.4391 20.6962 90.00 90.00 120.00
Space group R-3m (No. 166, hexagonal axes)
One atom of each set of equivalent atoms:
La  0.0000  0.0000  0.0000 (multiplicity 3)
Nd  0.0000  0.0000  0.5000 (multiplicity 3)
Nd  0.0000  0.5000  0.5000 (multiplicity 9)
Sm  0.0000  0.5000  0.0000 (multiplicity 9)
Se  0.0000  0.0000  0.2518 (multiplicity 6)
Se  0.0044  0.5022  0.2508 (multiplicity 18)



(9)
DFT (PBE) results for a geometry-optimized TbRe3B3 structure.

For the magnetic moment, the calculation gives 0.00 μB/cell. As for the crystal system: hexagonal. As for the total energy: -9.1212 eV/atom.

Lattice parameters (Å, degrees): 8.1404 8.1404 3.0853 90.00 90.00 120.00
Space group P6_3/m (No. 176)
One atom of each set of equivalent atoms:
Tb  0.3333  0.6667  0.2500 (multiplicity 2)
Re  0.0667  0.3056  0.7500 (multiplicity 6)
B  0.0388  0.5688  0.7500 (multiplicity 6)



(10)
DFT (PBE) results for a geometry-optimized Rb3Mg2InF9 structure.

For the magnetic moment, the calculation gives 0.47 μB/cell. As for the crystal system: trigonal. As for the total energy: -4.6500 eV/atom.

Lattice parameters (Å, degrees): 6.0414 6.0414 7.4636 90.00 90.00 120.00
Space group P-3m1 (No. 164)
One atom of each set of equivalent atoms:
Rb  0.0000  0.0000  0.0000 (multiplicity 1)
Rb  0.3333  0.6667  0.6679 (multiplicity 2)
Mg  0.3333  0.6667  0.1506 (multiplicity 2)
In  0.0000  0.0000  0.5000 (multiplicity 1)
F  0.0000  0.5000  0.0000 (multiplicity 3)
F  0.1776  0.3553  0.3146 (multiplicity 6)



Density / kg/m3: 4643 4981 6927 5192 8181 7354 3983 7019 14067 4159